(1)
The following is a SCAN calculation of a PBEsol-optimized structure of ZnCu3H6Cl2O6, from Alexandria via LeMat-Bulk.

```
ZnCu3H6Cl2O6
1.0
5.625 0.000 0.000
0.000 6.226 0.000
0.000 -3.113 5.392
Zn Cu H Cl O
1 3 6 2 6
Cartesian
2.813 0.000 0.000
2.813 -1.557 2.696
2.813 1.557 2.696
2.813 3.113 0.000
0.966 3.113 3.211
4.660 0.000 2.181
4.660 1.224 4.301
0.966 1.889 1.091
0.966 4.337 1.091
4.660 -1.224 4.301
4.963 3.113 1.797
0.662 0.000 3.595
1.925 1.656 0.956
3.701 0.000 1.912
3.701 1.457 4.436
1.925 3.113 3.480
3.701 -1.457 4.436
1.925 4.571 0.956
```

Calculated volume (A^3/atom): 10.49
Spin magnetization (μB per cell): 2.99
Symmetry: No. 164
E (eV per atom): -8.43


(2)
The following is a SCAN calculation of a PBEsol-optimized structure of ZnCu15H24Cl8O24, from Alexandria via LeMat-Bulk.

```
ZnCu15H24Cl8O24
1.0
6.891 0.000 0.000
3.445 5.967 0.000
3.445 1.989 17.952
Zn Cu H Cl O
1 15 24 8 24
Cartesian
6.891 3.978 8.976
5.169 0.994 2.244
8.612 2.984 6.733
8.612 6.963 15.708
5.169 4.972 11.218
6.891 5.966 6.733
6.891 1.990 11.218
3.445 3.979 2.244
10.336 3.977 15.708
1.722 0.994 2.244
5.169 2.984 6.733
12.060 6.963 15.708
8.612 4.972 11.218
3.445 1.989 4.477
0.000 0.000 0.000
10.336 5.967 13.474
8.266 3.185 3.453
4.802 5.184 7.925
8.265 3.185 16.917
8.269 7.161 12.430
6.891 5.566 3.453
6.891 1.566 7.925
6.891 5.566 16.917
10.336 3.580 12.430
5.516 3.185 3.453
8.980 5.184 7.925
5.516 3.185 16.917
12.403 7.161 12.430
5.513 0.796 5.522
8.980 2.772 10.027
5.516 4.772 1.035
5.516 4.772 14.499
3.445 4.376 5.522
6.891 6.390 10.027
6.891 2.391 1.035
6.891 2.391 14.499
1.378 0.796 5.522
4.802 2.772 10.027
8.265 4.772 1.035
8.266 4.772 14.499
3.445 1.989 0.149
6.891 3.978 4.632
3.445 1.989 13.615
10.336 5.967 9.141
3.445 1.989 8.811
6.891 3.978 13.320
10.336 5.967 4.336
10.336 5.967 17.803
2.165 2.729 3.025
5.589 4.730 7.499
9.056 2.728 16.493
9.063 6.702 12.015
3.445 0.510 3.025
6.891 2.475 7.499
6.891 6.479 16.493
10.336 4.498 12.015
4.726 2.729 3.025
8.193 4.730 7.499
4.725 2.728 16.493
11.609 6.702 12.015
4.718 1.254 5.937
8.193 3.227 10.453
4.725 5.229 1.458
11.617 5.228 14.926
3.445 3.459 5.937
6.891 5.482 10.453
6.891 1.477 1.458
10.336 7.446 14.926
2.173 1.254 5.937
5.589 3.227 10.453
9.056 5.229 1.458
9.055 5.228 14.926
```

Calculated volume (A^3/atom): 10.25
Spin magnetization (μB per cell): 15.00
Symmetry: No. 166
Excess energy over the best structure of this formula in the dataset (eV/atom): 0.021
DOS at the Fermi energy (states/eV per cell): 18.6
E (eV per atom): -8.41


(3)
The following is a SCAN calculation of a PBEsol-optimized structure of CuHS2Cl, from Alexandria via LeMat-Bulk.

```
CuHS2Cl
1.0
-1.702 0.885 2.908
-2.242 -2.616 -0.515
3.856 -3.988 3.471
H S Cu Cl
1 2 1 1
Cartesian
0.000 0.000 0.000
-1.121 -1.308 -0.258
-0.851 0.443 1.454
-0.044 -2.859 2.932
1.928 -1.994 1.736
```

Calculated volume (A^3/atom): 15.88
Spin magnetization (μB per cell): 0.00
Symmetry: No. 123
DOS at the Fermi energy (states/eV per cell): 1.9
E (eV per atom): -8.74


(4)
The following is a SCAN calculation of a PBEsol-optimized structure of CuHWCl2, from Alexandria via LeMat-Bulk.

```
CuHWCl2
1.0
-1.278 -2.928 -1.158
4.110 -1.751 -0.111
-0.501 -1.442 4.199
H Cu W Cl
1 1 1 2
Cartesian
0.000 0.000 0.000
1.165 -3.060 1.465
-0.639 -1.464 -0.579
-0.251 -0.721 2.100
2.055 -0.875 -0.055
```

Calculated volume (A^3/atom): 13.57
Spin magnetization (μB per cell): 2.67
Symmetry: No. 123
DOS at the Fermi energy (states/eV per cell): 1.6
E (eV per atom): -19.86